No. 1
## RbZr3Hg (meta-GGA SCAN)

Data for a crystal of RbZr3Hg relaxed with PBEsol.

Cell and atoms, written as CIF:
```
data_RbZr3Hg
_space_group_name_H-M_alt 'P m -3 m'
_space_group_IT_number 221
_space_group_name_Hall '-P 4 2 3'
_cell_length_a 4.935
_cell_length_b 4.935
_cell_length_c 4.935
_cell_angle_alpha 90.00
_cell_angle_beta 90.00
_cell_angle_gamma 90.00
loop_
_atom_site_label
_atom_site_type_symbol
_atom_site_fract_x
_atom_site_fract_y
_atom_site_fract_z
Rb1 Rb 0.000 0.000 0.000
Zr1 Zr 0.000 0.000 0.500
Hg1 Hg 0.500 0.500 0.500
```

Results
ΔH_f (0 K), eV/f.u.: 9.9
Crystal system: cubic
M_tot, μB per cell: 2.4
E_tot, eV for the cell shown: -171.13

=====

No. 2
## La2Ag (meta-GGA SCAN)

Data for a crystal of La2Ag relaxed with PBEsol.

Cell and atoms, written as CIF:
```
data_La2Ag
_space_group_name_H-M_alt 'I 4/m c m'
_space_group_IT_number 140
_space_group_name_Hall '-I 4 2c'
_cell_length_a 7.654
_cell_length_b 7.654
_cell_length_c 5.854
_cell_angle_alpha 90.00
_cell_angle_beta 90.00
_cell_angle_gamma 90.00
loop_
_atom_site_label
_atom_site_type_symbol
_atom_site_fract_x
_atom_site_fract_y
_atom_site_fract_z
La1 La 0.156 0.344 0.000
Ag1 Ag 0.000 0.000 0.250
```

Results
ΔH_f (0 K), eV/f.u.: -0.5
Crystal system: tetragonal
M_tot, μB per cell: 0.0
E_tot, eV for the cell shown: -472.43

=====

No. 3
## Ba2PtCl (meta-GGA SCAN)

Data for a crystal of Ba2PtCl relaxed with PBEsol.

Cell and atoms, written as CIF:
```
data_Ba2PtCl
_space_group_name_H-M_alt 'I m m 2'
_space_group_IT_number 44
_space_group_name_Hall 'I 2 -2'
_cell_length_a 4.007
_cell_length_b 4.133
_cell_length_c 15.763
_cell_angle_alpha 90.00
_cell_angle_beta 90.00
_cell_angle_gamma 90.00
loop_
_atom_site_label
_atom_site_type_symbol
_atom_site_fract_x
_atom_site_fract_y
_atom_site_fract_z
Ba1 Ba 0.000 0.000 0.000
Ba2 Ba 0.000 0.500 0.232
Pt1 Pt 0.000 0.000 0.587
Cl1 Cl 0.000 0.500 0.828
```

Results
Crystal system: orthorhombic
M_tot, μB per cell: 0.0
E_tot, eV for the cell shown: -325.75
E_form (uncorrected), eV per atom: -1.40

=====

No. 4
## YSc2NbMo (meta-GGA SCAN)

Data for a crystal of YSc2NbMo relaxed with PBEsol.

Cell and atoms, written as CIF:
```
data_YSc2NbMo
_space_group_name_H-M_alt 'P 4/m m m'
_space_group_IT_number 123
_space_group_name_Hall '-P 4 2'
_cell_length_a 5.080
_cell_length_b 5.080
_cell_length_c 4.719
_cell_angle_alpha 90.00
_cell_angle_beta 90.00
_cell_angle_gamma 90.00
loop_
_atom_site_label
_atom_site_type_symbol
_atom_site_fract_x
_atom_site_fract_y
_atom_site_fract_z
Y1 Y 0.000 0.000 0.000
Sc1 Sc 0.000 0.500 0.500
Nb1 Nb 0.500 0.500 0.500
Mo1 Mo 0.500 0.500 0.000
```

Results
ΔH_f (0 K), eV/f.u.: 3.4
Crystal system: tetragonal
M_tot, μB per cell: 0.0
E_tot, eV for the cell shown: -120.93

=====

No. 5
## Al2Rh (meta-GGA SCAN)

Data for a crystal of Al2Rh relaxed with PBEsol.

Cell and atoms, written as CIF:
```
data_Al2Rh
_space_group_name_H-M_alt 'C 1 2/m 1'
_space_group_IT_number 12
_space_group_name_Hall '-C 2y'
_cell_length_a 9.312
_cell_length_b 3.013
_cell_length_c 6.616
_cell_angle_alpha 90.00
_cell_angle_beta 111.57
_cell_angle_gamma 90.00
loop_
_atom_site_label
_atom_site_type_symbol
_atom_site_fract_x
_atom_site_fract_y
_atom_site_fract_z
Al1 Al 0.050 0.000 0.326
Al2 Al 0.148 0.500 0.047
Rh1 Rh 0.169 0.500 0.662
```

Results
ΔH_f (0 K), eV/f.u.: -2.6
Crystal system: monoclinic
M_tot, μB per cell: 0.0
E_tot, eV for the cell shown: -207.55

=====

No. 6
## Al2O3 (meta-GGA SCAN)

Data for a crystal of Al2O3 relaxed with PBEsol.

Cell and atoms, written as CIF:
```
data_Al2O3
_space_group_name_H-M_alt 'P b c a'
_space_group_IT_number 61
_space_group_name_Hall '-P 2ac 2ab'
_cell_length_a 4.795
_cell_length_b 5.051
_cell_length_c 13.988
_cell_angle_alpha 90.00
_cell_angle_beta 90.00
_cell_angle_gamma 90.00
loop_
_atom_site_label
_atom_site_type_symbol
_atom_site_fract_x
_atom_site_fract_y
_atom_site_fract_z
Al1 Al 0.000 0.184 0.073
Al2 Al 0.002 0.247 0.321
O1 O 0.143 0.116 0.203
O2 O 0.153 0.664 0.550
O3 O 0.198 0.538 0.877
```

Results
Crystal system: orthorhombic
M_tot, μB per cell: 0.0
E_tot, eV for the cell shown: -406.29
E_form (uncorrected), eV per atom: -3.32